1.
## AcPr4Sm2Ho (PBE)

Data for AcPr4Sm2Ho after structural relaxation.

Lattice parameters (Å, degrees): 5.254 5.221 11.705 63.49 90.00 90.00
Atoms (fractional coordinates):
Ac (0.500, 0.500, 0.000)
Pr (0.500, 0.258, 0.742)
Ho (0.000, 0.500, 0.500)
Pr (0.000, 0.758, 0.742)
Pr (0.500, 0.742, 0.258)
Sm (0.000, 0.000, 0.000)
Pr (0.000, 0.242, 0.258)
Sm (0.500, 0.000, 0.500)

VASP energy ... -4.633 eV/atom

***

2.
## Ac2Pr4Sm2Ho (PBE)

Data for Ac2Pr4Sm2Ho after structural relaxation.

Lattice parameters (Å, degrees): 3.725 9.079 10.204 98.79 90.00 101.84
Atoms (fractional coordinates):
Pr (0.510, 0.021, 0.319)
Ho (0.000, 0.000, 0.000)
Ac (0.837, 0.673, 0.418)
Sm (0.336, 0.672, 0.079)
Pr (0.831, 0.662, 0.776)
Pr (0.490, 0.979, 0.681)
Pr (0.169, 0.338, 0.224)
Sm (0.664, 0.328, 0.921)
Ac (0.163, 0.327, 0.582)

VASP energy ... -4.565 eV/atom

***

3.
## Ac5Pr2SmHo (PBE)

Data for Ac5Pr2SmHo after structural relaxation.

Lattice parameters (Å, degrees): 8.517 8.517 11.885 111.00 111.00 90.00
Atoms (fractional coordinates):
Pr (0.622, 0.122, 0.000)
Ac (0.000, 0.000, 0.000)
Ac (0.365, 0.865, 0.278)
Ho (0.250, 0.750, 0.500)
Ac (0.587, 0.635, 0.722)
Ac (0.135, 0.087, 0.722)
Pr (0.378, 0.878, 0.000)
Ac (0.413, 0.365, 0.278)
Ac (0.500, 0.500, 0.000)
Ac (0.087, 0.587, 0.722)
Ac (0.865, 0.913, 0.278)
Ac (0.635, 0.135, 0.722)
Sm (0.250, 0.250, 0.500)
Ho (0.750, 0.250, 0.500)
Pr (0.878, 0.622, 0.000)
Ac (0.913, 0.413, 0.278)
Sm (0.750, 0.750, 0.500)
Pr (0.122, 0.378, 0.000)

VASP energy ... -4.094 eV/atom

***

4.
## Ac2PrSm4Ho (PBE)

Data for Ac2PrSm4Ho after structural relaxation.

Lattice parameters (Å, degrees): 12.845 7.436 7.444 120.08 106.86 90.06
Atoms (fractional coordinates):
Ac (0.500, 0.000, 0.000)
Ho (0.000, 0.000, 0.000)
Sm (0.751, 0.254, 0.503)
Sm (0.752, 0.749, 0.997)
Sm (0.249, 0.746, 0.497)
Ac (0.500, 0.000, 0.500)
Ac (0.500, 0.500, 0.000)
Ho (0.500, 0.500, 0.500)
Sm (0.756, 0.252, 0.004)
Sm (0.244, 0.748, 0.996)
Pr (0.000, 0.500, 0.000)
Sm (0.248, 0.251, 0.003)
Sm (0.248, 0.251, 0.496)
Sm (0.752, 0.749, 0.504)
Ac (0.000, 0.000, 0.500)
Pr (0.000, 0.500, 0.500)

VASP energy ... -4.521 eV/atom

***

Number 3 is which compound?
Ac5Pr2SmHo

***

What did the fourth record say?
## Ac2PrSm4Ho (PBE)

Data for Ac2PrSm4Ho after structural relaxation.

Lattice parameters (Å, degrees): 12.845 7.436 7.444 120.08 106.86 90.06
Atoms (fractional coordinates):
Ac (0.500, 0.000, 0.000)
Ho (0.000, 0.000, 0.000)
Sm (0.751, 0.254, 0.503)
Sm (0.752, 0.749, 0.997)
Sm (0.249, 0.746, 0.497)
Ac (0.500, 0.000, 0.500)
Ac (0.500, 0.500, 0.000)
Ho (0.500, 0.500, 0.500)
Sm (0.756, 0.252, 0.004)
Sm (0.244, 0.748, 0.996)
Pr (0.000, 0.500, 0.000)
Sm (0.248, 0.251, 0.003)
Sm (0.248, 0.251, 0.496)
Sm (0.752, 0.749, 0.504)
Ac (0.000, 0.000, 0.500)
Pr (0.000, 0.500, 0.500)

VASP energy ... -4.521 eV/atom

***

Which of these has the lowest VASP energy?
AcPr4Sm2Ho

***

What is the formula in the second record?
Ac2Pr4Sm2Ho